Material: Hf2MnTe
Method: DFT, PBE-GGA
State: relaxed

Crystal system ... trigonal
Final energy ... -7.563 eV per atom

CIF file:
```
data_Hf2MnTe
_cell_length_a 3.2075
_cell_length_b 3.2075
_cell_length_c 29.8660
_cell_angle_alpha 90.00
_cell_angle_beta 90.00
_cell_angle_gamma 120.00
_symmetry_space_group_name_H-M 'R -3 m'
_symmetry_Int_Tables_number 166
_symmetry_space_group_name_Hall '-R 3 2"'
loop_
_atom_site_label
_atom_site_fract_x
_atom_site_fract_y
_atom_site_fract_z
Hf1 0.0000 0.0000 0.0868
Mn1 0.0000 0.0000 0.0000
Te1 0.0000 0.0000 0.5000
```

Material: HfMnTe4
Method: DFT, PBE-GGA
State: relaxed

Crystal system ... monoclinic
Final energy ... -5.756 eV per atom

CIF file:
```
data_HfMnTe4
_cell_length_a 6.697
_cell_length_b 3.879
_cell_length_c 7.117
_cell_angle_alpha 90.00
_cell_angle_beta 90.82
_cell_angle_gamma 90.00
_symmetry_space_group_name_H-M 'P 1 2/m 1'
_symmetry_Int_Tables_number 10
loop_
_symmetry_equiv_pos_as_xyz
'x,y,z'
'-x,-y,-z'
'-x,y,-z'
'x,-y,z'
loop_
_atom_site_label
_atom_site_fract_x
_atom_site_fract_y
_atom_site_fract_z
Hf1 0.000 0.000 0.000
Mn1 0.500 0.500 0.000
Te1 0.183 0.500 0.247
Te2 0.346 0.000 0.768
```

Material: Hf2MnTe
Method: DFT, PBE-GGA
State: relaxed

Crystal system ... tetragonal
Final energy ... -7.365 eV per atom

CIF file:
```
data_Hf2MnTe
_cell_length_a 5.916
_cell_length_b 5.916
_cell_length_c 12.418
_cell_angle_alpha 90.00
_cell_angle_beta 90.00
_cell_angle_gamma 90.00
_symmetry_space_group_name_H-M 'I -4 2 d'
_symmetry_Int_Tables_number 122
_symmetry_space_group_name_Hall 'I -4 2bw'
loop_
_atom_site_label
_atom_site_fract_x
_atom_site_fract_y
_atom_site_fract_z
Hf1 0.161 0.250 0.125
Mn1 0.000 0.000 0.000
Te1 0.000 0.000 0.500
```

Material: Hf3MnTe8
Method: DFT, PBE-GGA
State: relaxed

Crystal system ... monoclinic
Final energy ... -5.989 eV per atom

CIF file:
```
data_Hf3MnTe8
_cell_length_a 13.612
_cell_length_b 7.846
_cell_length_c 8.804
_cell_angle_alpha 90.00
_cell_angle_beta 122.30
_cell_angle_gamma 90.00
_symmetry_space_group_name_H-M 'C 1 2/m 1'
_symmetry_Int_Tables_number 12
loop_
_symmetry_equiv_pos_as_xyz
'x,y,z'
'-x,-y,-z'
'-x,y,-z'
'x,-y,z'
'x+1/2,y+1/2,z'
'-x+1/2,-y+1/2,-z'
'-x+1/2,y+1/2,-z'
'x+1/2,-y+1/2,z'
loop_
_atom_site_label
_atom_site_fract_x
_atom_site_fract_y
_atom_site_fract_z
Hf1 0.000 0.000 0.000
Hf2 0.250 0.250 0.000
Mn1 0.000 0.500 0.000
Te1 0.000 0.259 0.233
Te2 0.241 0.500 0.232
Te3 0.250 0.000 0.241
```

Material: HfMnTe2
Method: DFT, PBE-GGA
State: relaxed

Crystal system ... cubic
Final energy ... -6.475 eV per atom

CIF file:
```
data_HfMnTe2
_cell_length_a 7.037
_cell_length_b 7.037
_cell_length_c 7.037
_cell_angle_alpha 90.00
_cell_angle_beta 90.00
_cell_angle_gamma 90.00
_symmetry_space_group_name_H-M 'F m -3 m'
_symmetry_Int_Tables_number 225
_symmetry_space_group_name_Hall '-F 4 2 3'
loop_
_atom_site_label
_atom_site_fract_x
_atom_site_fract_y
_atom_site_fract_z
Hf1 0.000 0.000 0.000
Mn1 0.000 0.000 0.500
Te1 0.250 0.250 0.250
```

Material: Hf5Mn2Te2
Method: DFT, PBE-GGA
State: relaxed

Crystal system ... orthorhombic
Final energy ... -8.615 eV per atom

CIF file:
```
data_Hf5Mn2Te2
_cell_length_a 14.625
_cell_length_b 7.162
_cell_length_c 7.168
_cell_angle_alpha 90.00
_cell_angle_beta 90.00
_cell_angle_gamma 90.00
_symmetry_space_group_name_H-M 'C m c e'
_symmetry_Int_Tables_number 64
_symmetry_space_group_name_Hall '-C 2ac 2'
loop_
_atom_site_label
_atom_site_fract_x
_atom_site_fract_y
_atom_site_fract_z
Hf1 0.000 0.000 0.000
Hf2 0.116 0.169 0.330
Mn1 0.000 0.108 0.604
Te1 0.210 0.000 0.000
```

Material: Hf2MnTl2Te6
Method: DFT, PBE-GGA
State: relaxed

Crystal system ... monoclinic
Final energy ... -5.333 eV per atom

CIF file:
```
data_Hf2MnTl2Te6
_cell_length_a 7.140
_cell_length_b 12.406
_cell_length_c 8.649
_cell_angle_alpha 90.00
_cell_angle_beta 106.22
_cell_angle_gamma 90.00
_symmetry_space_group_name_H-M 'C 1 2/m 1'
_symmetry_Int_Tables_number 12
loop_
_symmetry_equiv_pos_as_xyz
'x,y,z'
'-x,-y,-z'
'-x,y,-z'
'x,-y,z'
'x+1/2,y+1/2,z'
'-x+1/2,-y+1/2,-z'
'-x+1/2,y+1/2,-z'
'x+1/2,-y+1/2,z'
loop_
_atom_site_label
_atom_site_fract_x
_atom_site_fract_y
_atom_site_fract_z
Hf1 0.000 0.169 0.000
Mn1 0.000 0.500 0.000
Tl1 0.000 0.332 0.500
Te1 0.233 0.000 0.198
Te2 0.236 0.334 0.202
```

Material: Hf2MnTl3Te6
Method: DFT, PBE-GGA
State: relaxed

Crystal system ... monoclinic
Final energy ... -5.082 eV per atom

CIF file:
```
data_Hf2MnTl3Te6
_cell_length_a 7.123
_cell_length_b 12.322
_cell_length_c 8.556
_cell_angle_alpha 90.00
_cell_angle_beta 90.12
_cell_angle_gamma 90.00
_symmetry_space_group_name_H-M 'C 1 2/m 1'
_symmetry_Int_Tables_number 12
loop_
_symmetry_equiv_pos_as_xyz
'x,y,z'
'-x,-y,-z'
'-x,y,-z'
'x,-y,z'
'x+1/2,y+1/2,z'
'-x+1/2,-y+1/2,-z'
'-x+1/2,y+1/2,-z'
'x+1/2,-y+1/2,z'
loop_
_atom_site_label
_atom_site_fract_x
_atom_site_fract_y
_atom_site_fract_z
Hf1 0.000 0.167 0.000
Mn1 0.000 0.500 0.000
Tl1 0.000 0.167 0.500
Tl2 0.000 0.500 0.500
Te1 0.166 0.334 0.196
Te2 0.168 0.000 0.196
```

Material: HfThMn4
Method: DFT, PBE-GGA
State: relaxed

Crystal system ... cubic
E_form ... -0.01 eV per formula unit

CIF file:
```
data_HfThMn4
_cell_length_a 7.246
_cell_length_b 7.246
_cell_length_c 7.246
_cell_angle_alpha 90.00
_cell_angle_beta 90.00
_cell_angle_gamma 90.00
_symmetry_space_group_name_H-M 'F -4 3 m'
_symmetry_Int_Tables_number 216
_symmetry_space_group_name_Hall 'F -4 2 3'
loop_
_atom_site_label
_atom_site_fract_x
_atom_site_fract_y
_atom_site_fract_z
Hf1 0.000 0.000 0.000
Th1 0.250 0.250 0.250
Mn1 0.126 0.126 0.626
```

Material: Hf2TiMn2
Method: DFT, PBE-GGA
State: relaxed

Crystal system ... tetragonal
E_form ... -0.22 eV per formula unit

CIF file:
```
data_Hf2TiMn2
_cell_length_a 6.260
_cell_length_b 6.260
_cell_length_c 4.279
_cell_angle_alpha 90.00
_cell_angle_beta 90.00
_cell_angle_gamma 90.00
_symmetry_space_group_name_H-M 'P 4/m b m'
_symmetry_Int_Tables_number 127
_symmetry_space_group_name_Hall '-P 4 2ab'
loop_
_atom_site_label
_atom_site_fract_x
_atom_site_fract_y
_atom_site_fract_z
Hf1 0.181 0.319 0.000
Ti1 0.000 0.000 0.500
Mn1 0.119 0.619 0.500
```

Material: HfTiMn
Method: DFT, PBE-GGA
State: relaxed

Crystal system ... orthorhombic
E_form ... -0.34 eV per formula unit

CIF file:
```
data_HfTiMn
_cell_length_a 8.556
_cell_length_b 5.285
_cell_length_c 8.627
_cell_angle_alpha 90.00
_cell_angle_beta 90.00
_cell_angle_gamma 90.00
_symmetry_space_group_name_H-M 'A m m 2'
_symmetry_Int_Tables_number 38
loop_
_symmetry_equiv_pos_as_xyz
'x,y,z'
'-x,-y,z'
'-x,y,z'
'x,-y,z'
'x,y+1/2,z+1/2'
'-x,-y+1/2,z+1/2'
'-x,y+1/2,z+1/2'
'x,-y+1/2,z+1/2'
loop_
_atom_site_label
_atom_site_fract_x
_atom_site_fract_y
_atom_site_fract_z
Hf1 0.173 0.000 0.000
Hf2 0.296 0.000 0.333
Ti1 0.233 0.000 0.671
Ti2 0.500 0.241 0.078
Mn1 0.000 0.000 0.492
Mn2 0.000 0.239 0.254
Mn3 0.500 0.000 0.824
```

Material: HfTiMn
Method: DFT, PBE-GGA
State: relaxed

Crystal system ... orthorhombic
E_form ... -0.46 eV per formula unit

CIF file:
```
data_HfTiMn
_cell_length_a 5.007
_cell_length_b 5.505
_cell_length_c 7.045
_cell_angle_alpha 90.00
_cell_angle_beta 90.00
_cell_angle_gamma 90.00
_symmetry_space_group_name_H-M 'I m m a'
_symmetry_Int_Tables_number 74
_symmetry_space_group_name_Hall '-I 2b 2'
loop_
_atom_site_label
_atom_site_fract_x
_atom_site_fract_y
_atom_site_fract_z
Hf1 0.000 0.250 0.117
Ti1 0.000 0.000 0.500
Mn1 0.250 0.250 0.750
```

Material: Hf2TiMn
Method: DFT, PBE-GGA
State: relaxed

Crystal system ... trigonal
E_form ... 0.79 eV per formula unit

CIF file:
```
data_Hf2TiMn
_cell_length_a 3.1104
_cell_length_b 3.1104
_cell_length_c 26.2674
_cell_angle_alpha 90.00
_cell_angle_beta 90.00
_cell_angle_gamma 120.00
_symmetry_space_group_name_H-M 'R -3 m'
_symmetry_Int_Tables_number 166
_symmetry_space_group_name_Hall '-R 3 2"'
loop_
_atom_site_label
_atom_site_fract_x
_atom_site_fract_y
_atom_site_fract_z
Hf1 0.0000 0.0000 0.2397
Ti1 0.0000 0.0000 0.0000
Mn1 0.0000 0.0000 0.5000
```

no.,V (Å³/cell),total magnetization (μB/f.u.)
1,266,2.6
2,185,3.1
3,435,0.0
4,795,3.3
5,348,3.0
6,751,0.0
7,736,5.0
8,751,4.6
9,381,6.9
10,168,0.5
11,390,0.1
12,194,0.0
13,220,0.1